1.
# MnCr2Si | the Alexandria database | GGA-PBE | relaxed
# * raw total energy: -139.12 eV for the cell shown
# * DOS(E_F): 14.43 states/eV/cell
# * uncorrected formation energy: -235 meV per atom
# * crystal system: cubic
data_MnCr2Si
_symmetry_space_group_name_H-M 'F -4 3 m'
_symmetry_Int_Tables_number 216
_symmetry_space_group_name_Hall 'F -4 2 3'
_cell_length_a 5.664
_cell_length_b 5.664
_cell_length_c 5.664
_cell_angle_alpha 90.00
_cell_angle_beta 90.00
_cell_angle_gamma 90.00
loop_
_atom_site_label
_atom_site_fract_x
_atom_site_fract_y
_atom_site_fract_z
Mn1 0.000 0.000 0.000
Cr1 0.000 0.000 0.500
Cr2 0.250 0.250 0.250
Si1 0.250 0.250 0.750

---

2.
# MnCr2Si | the Alexandria database | GGA-PBE | relaxed
# * raw total energy: -34.49 eV for the cell shown
# * DOS(E_F): 3.31 states/eV/cell
# * uncorrected formation energy: -163 meV per atom
# * crystal system: tetragonal
data_MnCr2Si
_symmetry_space_group_name_H-M 'P 4 m m'
_symmetry_Int_Tables_number 99
_cell_length_a 2.909
_cell_length_b 2.909
_cell_length_c 5.434
_cell_angle_alpha 90.00
_cell_angle_beta 90.00
_cell_angle_gamma 90.00
loop_
_symmetry_equiv_pos_as_xyz
'x,y,z'
'-y,x,z'
'-x,-y,z'
'y,-x,z'
'-x,y,z'
'y,x,z'
'x,-y,z'
'-y,-x,z'
loop_
_atom_site_label
_atom_site_fract_x
_atom_site_fract_y
_atom_site_fract_z
Mn1 0.000 0.000 0.000
Cr1 0.000 0.000 0.494
Cr2 0.500 0.500 0.727
Si1 0.500 0.500 0.232

---

3.
# MnCrSi2 | the Alexandria database | GGA-PBE | relaxed
# * raw total energy: -60.54 eV for the cell shown
# * DOS(E_F): 4.91 states/eV/cell
# * uncorrected formation energy: -158 meV per atom
# * crystal system: orthorhombic
data_MnCrSi2
_symmetry_space_group_name_H-M 'I m m m'
_symmetry_Int_Tables_number 71
_symmetry_space_group_name_Hall '-I 2 2'
_cell_length_a 3.575
_cell_length_b 4.030
_cell_length_c 6.697
_cell_angle_alpha 90.00
_cell_angle_beta 90.00
_cell_angle_gamma 90.00
loop_
_atom_site_label
_atom_site_fract_x
_atom_site_fract_y
_atom_site_fract_z
Mn1 0.000 0.000 0.000
Cr1 0.000 0.000 0.500
Si1 0.000 0.500 0.251

---

4.
# MnCr2Si | the Alexandria database | GGA-PBE | relaxed
# * raw total energy: -34.12 eV for the cell shown
# * DOS(E_F): 4.14 states/eV/cell
# * uncorrected formation energy: -70 meV per atom
# * crystal system: tetragonal
data_MnCr2Si
_symmetry_space_group_name_H-M 'P 4/m m m'
_symmetry_Int_Tables_number 123
_symmetry_space_group_name_Hall '-P 4 2'
_cell_length_a 3.981
_cell_length_b 3.981
_cell_length_c 2.922
_cell_angle_alpha 90.00
_cell_angle_beta 90.00
_cell_angle_gamma 90.00
loop_
_atom_site_label
_atom_site_fract_x
_atom_site_fract_y
_atom_site_fract_z
Mn1 0.000 0.000 0.000
Cr1 0.000 0.500 0.500
Si1 0.500 0.500 0.000

---

5.
# MnCr2Si | the Alexandria database | GGA-PBE | relaxed
# * raw total energy: -33.97 eV for the cell shown
# * DOS(E_F): 2.79 states/eV/cell
# * uncorrected formation energy: -34 meV per atom
# * crystal system: tetragonal
data_MnCr2Si
_symmetry_space_group_name_H-M 'P 4/m m m'
_symmetry_Int_Tables_number 123
_symmetry_space_group_name_Hall '-P 4 2'
_cell_length_a 2.608
_cell_length_b 2.608
_cell_length_c 6.710
_cell_angle_alpha 90.00
_cell_angle_beta 90.00
_cell_angle_gamma 90.00
loop_
_atom_site_label
_atom_site_fract_x
_atom_site_fract_y
_atom_site_fract_z
Mn1 0.000 0.000 0.000
Cr1 0.500 0.500 0.246
Si1 0.000 0.000 0.500

---

6.
# MnCrSi | the Alexandria database | GGA-PBE | relaxed
# * raw total energy: -50.15 eV for the cell shown
# * DOS(E_F): 4.50 states/eV/cell
# * uncorrected formation energy: -287 meV per atom
# * crystal system: tetragonal
data_MnCrSi
_symmetry_space_group_name_H-M 'I 4 m m'
_symmetry_Int_Tables_number 107
_symmetry_space_group_name_Hall 'I 4 -2'
_cell_length_a 2.808
_cell_length_b 2.808
_cell_length_c 8.473
_cell_angle_alpha 90.00
_cell_angle_beta 90.00
_cell_angle_gamma 90.00
loop_
_atom_site_label
_atom_site_fract_x
_atom_site_fract_y
_atom_site_fract_z
Mn1 0.000 0.000 0.000
Cr1 0.000 0.000 0.338
Si1 0.000 0.000 0.664